A relaxed structure of K2NaHg4Au3, computed with PBE-GGA.

```
data_K2NaHg4Au3
_cell_length_a 4.5549
_cell_length_b 4.5549
_cell_length_c 13.5634
_cell_angle_alpha 90.00
_cell_angle_beta 90.00
_cell_angle_gamma 90.00
_space_group_name_H-M_alt 'P -4 m 2'
_space_group_IT_number 115
loop_
_space_group_symop_operation_xyz
'x,y,z'
'y,-x,-z'
'-x,-y,z'
'-y,x,-z'
'-x,y,z'
'-y,-x,-z'
'x,-y,z'
'y,x,-z'
loop_
_atom_site_label
_atom_site_type_symbol
_atom_site_fract_x
_atom_site_fract_y
_atom_site_fract_z
K1 K 0.0000 0.5000 0.2268
Na1 Na 0.0000 0.0000 0.5000
Hg1 Hg 0.0000 0.0000 0.0000
Hg2 Hg 0.0000 0.5000 0.6481
Hg3 Hg 0.5000 0.5000 0.0000
Au1 Au 0.0000 0.5000 0.8575
Au2 Au 0.5000 0.5000 0.5000
```

Properties
As for the density of states at the Fermi level: 0.380 states/eV per atom. The calculation puts the formation enthalpy at 0 K at -2.2 eV/f.u. As for the crystal system: tetragonal. The calculation puts the total DFT energy (no corrections) at -16.786 eV per cell.